The following is a GGA+U calculation of crystalline NaW2O8 at its relaxed geometry, from the Alexandria database.

Cell lengths 4.764, 4.764, 6.059 Å; angles 90.00, 90.00, 90.00 degrees
Positions (direct):
Na 0.500 0.500 0.500
W 0.500 0.000 0.000
W 0.000 0.500 0.000
O 0.749 0.749 0.195
O 0.749 0.251 0.805
O 0.749 0.749 0.805
O 0.749 0.251 0.195
O 0.251 0.749 0.195
O 0.251 0.749 0.805
O 0.251 0.251 0.195
O 0.251 0.251 0.805

Output
Crystal system: tetragonal
Final energy (eV per cell): -67.9
Total magnetic moment (μB per cell): 1.5